# 1
CoCu2SiS4 | PBEsol | relaxed

a b c (Å): 5.1211 5.1211 10.2864
angles (deg): 90.00 90.00 90.00
Atoms (fractional coordinates):
Co (0.0000, 0.0000, 0.0000)
Co (0.5000, 0.5000, 0.5000)
Cu (0.0000, 0.5000, 0.2500)
Cu (0.0000, 0.5000, 0.7500)
Cu (0.5000, 0.0000, 0.2500)
Cu (0.5000, 0.0000, 0.7500)
Si (0.0000, 0.0000, 0.5000)
Si (0.5000, 0.5000, 0.0000)
S (0.2448, 0.2448, 0.6208)
S (0.2448, 0.7552, 0.3792)
S (0.2552, 0.2552, 0.1208)
S (0.2552, 0.7448, 0.8792)
S (0.7448, 0.2552, 0.8792)
S (0.7448, 0.7448, 0.1208)
S (0.7552, 0.2448, 0.3792)
S (0.7552, 0.7552, 0.6208)

***

# 2
Li4CrFe3O8 | PBEsol | relaxed

a b c (Å): 4.9792 5.6725 9.6687
angles (deg): 89.86 80.74 73.42
Atoms (fractional coordinates):
Li (0.0000, 0.0000, 0.0000)
Li (0.0000, 0.0000, 0.5000)
Li (0.9996, 0.2476, 0.2511)
Li (0.0000, 0.5000, 0.0000)
Li (0.0000, 0.5000, 0.5000)
Li (0.0004, 0.7524, 0.7489)
Li (0.0032, 0.2477, 0.7517)
Li (0.9968, 0.7523, 0.2483)
Cr (0.5000, 0.3749, 0.6285)
Cr (0.5000, 0.6251, 0.3715)
Fe (0.4974, 0.1213, 0.3754)
Fe (0.4984, 0.8771, 0.1202)
Fe (0.4989, 0.3746, 0.1190)
Fe (0.5011, 0.6254, 0.8810)
Fe (0.5016, 0.1229, 0.8798)
Fe (0.5026, 0.8787, 0.6246)
O (0.2706, 0.1810, 0.5614)
O (0.2710, 0.6835, 0.0623)
O (0.2716, 0.1817, 0.0612)
O (0.2732, 0.6854, 0.5614)
O (0.2746, 0.9333, 0.3057)
O (0.2777, 0.4247, 0.3059)
O (0.2795, 0.4305, 0.8176)
O (0.2843, 0.9289, 0.8130)
O (0.7157, 0.0711, 0.1870)
O (0.7205, 0.5695, 0.1824)
O (0.7223, 0.5753, 0.6941)
O (0.7254, 0.0667, 0.6943)
O (0.7268, 0.3146, 0.4386)
O (0.7284, 0.8183, 0.9388)
O (0.7290, 0.3165, 0.9377)
O (0.7294, 0.8190, 0.4386)

***

Values for magnetization, μB/cell, ordered as above
5.80 12.10
Values for E_form (uncorrected), eV/atom, ordered as above
-0.411 -1.704